Entry 1:
The following is a PBEsol calculation of a relaxed AlSiNi4 crystal, from the Alexandria database.

It has space group Cmcm (No. 63), with a = 3.5321 Å, b = 15.7229 Å, c = 4.9436 Å, α = 90.00°, β = 90.00° and γ = 90.00°. The asymmetric unit holds Al at (0.0000, 0.0815, 0.2500), Si at (0.0000, 0.2219, 0.7500), Ni at (0.0000, 0.0775, 0.7500), Ni at (0.0000, 0.3407, 0.0045) and Ni at (0.0000, 0.5000, 0.0000).

The value obtained for the calculated density is 7.01 g cm⁻³. Its raw formation energy is -0.488 eV per atom. For the volume, the calculation gives 11.44 A^3/atom.

---

Entry 2:
The following is a PBEsol calculation of a relaxed Al2SiNi3 crystal, from the Alexandria database.

It has space group P6/mmm (No. 191), with a = 4.8578 Å, b = 4.8578 Å, c = 3.8959 Å, α = 90.00°, β = 90.00° and γ = 120.00°. The asymmetric unit holds Al at (0.3333, 0.6667, 0.0000), Si at (0.0000, 0.0000, 0.0000) and Ni at (0.0000, 0.5000, 0.5000).

The value obtained for the calculated density is 5.38 g cm⁻³. Its raw formation energy is -0.074 eV per atom. For the volume, the calculation gives 13.27 A^3/atom.

---

Entry 3:
The following is a PBEsol calculation of a relaxed Al2SiNi5 crystal, from the Alexandria database.

It has space group Pbam (No. 55), with a = 4.8945 Å, b = 9.6114 Å, c = 3.7540 Å, α = 90.00°, β = 90.00° and γ = 90.00°. The asymmetric unit holds Al at (0.1659, 0.1432, 0.0000), Si at (0.0000, 0.5000, 0.5000), Ni at (0.0000, 0.0000, 0.5000), Ni at (0.0815, 0.7396, 0.5000) and Ni at (0.1788, 0.3961, 0.0000).

The value obtained for the calculated density is 7.06 g cm⁻³. For the offset from the most stable computed form, the calculation gives 0 meV per atom. Its raw formation energy is -0.612 eV per atom. For the volume, the calculation gives 11.04 A^3/atom.

---

Entry 4:
The following is a PBEsol calculation of a relaxed AlSiNi crystal, from the Alexandria database.

It has space group Imm2 (No. 44), with a = 2.7754 Å, b = 3.5119 Å, c = 7.7235 Å, α = 90.00°, β = 90.00° and γ = 90.00°. The asymmetric unit holds Al at (0.0000, 0.0000, 0.0000), Si at (0.0000, 0.0000, 0.3224) and Ni at (0.0000, 0.0000, 0.6705).

The value obtained for the calculated density is 5.02 g cm⁻³. Its raw formation energy is -0.258 eV per atom. For the volume, the calculation gives 12.55 A^3/atom.

---

Entry 5:
The following is a PBEsol calculation of a relaxed AlSiNi2 crystal, from the Alexandria database.

It has space group P2_1 (No. 4), with a = 4.4771 Å, b = 4.5300 Å, c = 4.5132 Å, α = 90.00°, β = 91.85° and γ = 90.00°. The asymmetric unit holds Al at (0.0935, 0.0000, 0.1530), Si at (0.3990, 0.1950, 0.6602), Ni at (0.1125, 0.4981, 0.3591) and Ni at (0.4051, 0.7073, 0.8415).

The value obtained for the calculated density is 6.26 g cm⁻³. Its raw formation energy is -0.635 eV per atom. For the volume, the calculation gives 11.44 A^3/atom.

---

Entry 6:
The following is a PBEsol calculation of a relaxed AlSiNi2 crystal, from the Alexandria database.

It has space group P-3m1 (No. 164), with a = 2.6704 Å, b = 2.6704 Å, c = 7.5542 Å, α = 90.00°, β = 90.00° and γ = 120.00°. The asymmetric unit holds Al at (0.0000, 0.0000, 0.0000), Si at (0.0000, 0.0000, 0.5000) and Ni at (0.3333, 0.6667, 0.7376).

The value obtained for the calculated density is 6.14 g cm⁻³. Its raw formation energy is -0.420 eV per atom. For the volume, the calculation gives 11.66 A^3/atom.

---

Q: Look up the raw formation energy of the third one.
A: -0.612 eV per atom